# LiDy7In4 (PBE-GGA, relaxed)
data_LiDy7In4
_cell_length_a 14.4598
_cell_length_b 5.5261
_cell_length_c 11.1640
_cell_angle_alpha 90.00
_cell_angle_beta 127.14
_cell_angle_gamma 90.00
_symmetry_space_group_name_H-M 'C 1 2/m 1'
_symmetry_Int_Tables_number 12
loop_
_symmetry_equiv_pos_as_xyz
'x,y,z'
'-x,-y,-z'
'-x,y,-z'
'x,-y,z'
'x+1/2,y+1/2,z'
'-x+1/2,-y+1/2,-z'
'-x+1/2,y+1/2,-z'
'x+1/2,-y+1/2,z'
loop_
_atom_site_label
_atom_site_type_symbol
_atom_site_fract_x
_atom_site_fract_y
_atom_site_fract_z
Li1 Li 0.0000 0.0000 0.0000
Dy1 Dy 0.0000 0.5000 0.0000
Dy2 Dy 0.0684 0.0000 0.3346
Dy3 Dy 0.1623 0.5000 0.5994
Dy4 Dy 0.2208 0.0000 0.8704
In1 In 0.0657 0.5000 0.7782
In2 In 0.1978 0.5000 0.3375
# volume	29.63	Å³ per atom
# total magnetic moment	1.72	μB per cell
# ΔH_f (0 K)	-0.0900	eV per atom
# energy	-92.32	eV per cell

# MgCoPt2 (PBE-GGA, relaxed)
data_MgCoPt2
_cell_length_a 2.8509
_cell_length_b 4.4707
_cell_length_c 9.3501
_cell_angle_alpha 90.00
_cell_angle_beta 90.00
_cell_angle_gamma 90.00
_symmetry_space_group_name_H-M 'I m m 2'
_symmetry_Int_Tables_number 44
loop_
_symmetry_equiv_pos_as_xyz
'x,y,z'
'-x,-y,z'
'-x,y,z'
'x,-y,z'
'x+1/2,y+1/2,z+1/2'
'-x+1/2,-y+1/2,z+1/2'
'-x+1/2,y+1/2,z+1/2'
'x+1/2,-y+1/2,z+1/2'
loop_
_atom_site_label
_atom_site_type_symbol
_atom_site_fract_x
_atom_site_fract_y
_atom_site_fract_z
Mg1 Mg 0.0000 0.0000 0.0000
Co1 Co 0.0000 0.5000 0.2467
Pt1 Pt 0.0000 0.0000 0.5190
Pt2 Pt 0.0000 0.5000 0.7568
# volume	14.90	Å³ per atom
# total magnetic moment	4.13	μB per cell
# ΔH_f (0 K)	-0.2799	eV per atom
# energy	-43.80	eV per cell

# Tb4CeRh5 (PBE-GGA, relaxed)
data_Tb4CeRh5
_cell_length_a 3.4366
_cell_length_b 3.4366
_cell_length_c 17.4190
_cell_angle_alpha 90.00
_cell_angle_beta 90.00
_cell_angle_gamma 90.00
_symmetry_space_group_name_H-M 'P 4/m m m'
_symmetry_Int_Tables_number 123
_symmetry_space_group_name_Hall '-P 4 2'
loop_
_atom_site_label
_atom_site_type_symbol
_atom_site_fract_x
_atom_site_fract_y
_atom_site_fract_z
Tb1 Tb 0.0000 0.0000 0.0996
Tb2 Tb 0.0000 0.0000 0.2986
Ce1 Ce 0.0000 0.0000 0.5000
Rh1 Rh 0.5000 0.5000 0.0000
Rh2 Rh 0.5000 0.5000 0.1998
Rh3 Rh 0.5000 0.5000 0.4020
# volume	20.57	Å³ per atom
# total magnetic moment	0.00	μB per cell
# ΔH_f (0 K)	-0.8059	eV per atom
# energy	-69.27	eV per cell

# Pm3Pu2NpN6 (PBE-GGA, relaxed)
data_Pm3Pu2NpN6
_cell_length_a 6.1150
_cell_length_b 10.5948
_cell_length_c 6.1104
_cell_angle_alpha 90.00
_cell_angle_beta 109.49
_cell_angle_gamma 90.00
_symmetry_space_group_name_H-M 'C 1 2/m 1'
_symmetry_Int_Tables_number 12
loop_
_symmetry_equiv_pos_as_xyz
'x,y,z'
'-x,-y,-z'
'-x,y,-z'
'x,-y,z'
'x+1/2,y+1/2,z'
'-x+1/2,-y+1/2,-z'
'-x+1/2,y+1/2,-z'
'x+1/2,-y+1/2,z'
loop_
_atom_site_label
_atom_site_type_symbol
_atom_site_fract_x
_atom_site_fract_y
_atom_site_fract_z
Pm1 Pm 0.0000 0.0000 0.0000
Pm2 Pm 0.0000 0.3322 0.0000
Pu1 Pu 0.0000 0.1665 0.5000
Np1 Np 0.0000 0.5000 0.5000
N1 N 0.2365 0.3380 0.7239
N2 N 0.2490 0.5000 0.2754
# volume	15.55	Å³ per atom
# total magnetic moment	24.72	μB per cell
# raw formation energy	-1.345	eV per atom
# energy	-243.90	eV per cell

# SrNbTe2I (PBE-GGA, relaxed)
data_SrNbTe2I
_cell_length_a 6.1412
_cell_length_b 6.1412
_cell_length_c 6.0230
_cell_angle_alpha 90.00
_cell_angle_beta 90.00
_cell_angle_gamma 90.00
_symmetry_space_group_name_H-M 'P 4/m m m'
_symmetry_Int_Tables_number 123
_symmetry_space_group_name_Hall '-P 4 2'
loop_
_atom_site_label
_atom_site_type_symbol
_atom_site_fract_x
_atom_site_fract_y
_atom_site_fract_z
Sr1 Sr 0.0000 0.0000 0.0000
Nb1 Nb 0.5000 0.5000 0.5000
Te1 Te 0.0000 0.5000 0.0000
I1 I 0.0000 0.0000 0.5000
# volume	45.43	Å³ per atom
# total magnetic moment	2.32	μB per cell
# raw formation energy	0.650	eV per atom
# ΔE to the lowest computed polymorph	1138.7	meV/atom
# energy	-16.34	eV per cell

# Y2TlNi (PBE-GGA, relaxed)
data_Y2TlNi
_cell_length_a 7.8600
_cell_length_b 7.8600
_cell_length_c 6.6961
_cell_angle_alpha 90.00
_cell_angle_beta 90.00
_cell_angle_gamma 90.00
_symmetry_space_group_name_H-M 'I -4 2 d'
_symmetry_Int_Tables_number 122
_symmetry_space_group_name_Hall 'I -4 2bw'
loop_
_atom_site_label
_atom_site_type_symbol
_atom_site_fract_x
_atom_site_fract_y
_atom_site_fract_z
Y1 Y 0.1962 0.2500 0.1250
Tl1 Tl 0.0000 0.0000 0.5000
Ni1 Ni 0.0000 0.0000 0.0000
# volume	25.86	Å³ per atom
# total magnetic moment	0.00	μB per cell
# ΔH_f (0 K)	-0.0492	eV per atom
# energy	-85.09	eV per cell